No. 1
Material: Sr3ScFe2O8
Method: DFT, PBE+U
State: optimized geometry

Geometry as extended XYZ:
```
14
Lattice="5.7487 0.0000 0.0000 -2.8743 4.9785 0.0000 0.0000 0.0000 7.2347" Properties=species:S:1:pos:R:3 pbc="T T T"
Sr 0.0000 0.0000 0.0000
Sr 0.0000 3.3190 4.6180
Sr 2.8743 1.6595 2.6166
Sc 0.0000 0.0000 3.6173
Fe 0.0000 3.3190 1.4761
Fe 2.8743 1.6595 5.7585
O 0.0000 1.6484 2.3359
O -1.4468 4.1543 2.3359
O 1.4275 0.8242 4.8988
O 0.0000 3.3190 6.9208
O 2.8743 1.6595 0.3139
O 1.4468 4.1543 2.3359
O 4.3211 0.8242 4.8988
O 2.8743 3.3301 4.8988
```

Summary:
Calculated total energy in eV/cell: -94.75
Space group: P-3m1, No. 164
Mass density in Mg/m³: 4.39
Size of the total moment in μB/f.u.: 9.0

No. 2
Material: Cs2VTcF6
Method: DFT, PBE+U
State: optimized geometry

Geometry as extended XYZ:
```
10
Lattice="-3.0678 3.0678 4.4270 3.0678 -3.0678 4.4270 3.0678 3.0678 -4.4270" Properties=species:S:1:pos:R:3 pbc="T T T"
Cs 3.0678 0.0000 2.2135
Cs 0.0000 3.0678 2.2135
V 0.0000 0.0000 0.0000
Tc 0.0000 0.0000 4.4270
F 0.0000 0.0000 2.1534
F 1.5387 1.5387 0.0000
F 1.5291 -1.5291 4.4270
F -1.5291 1.5291 4.4270
F 1.5291 1.5291 4.4270
F 0.0000 0.0000 6.7006
```

Summary:
Calculated total energy in eV/cell: -52.76
Space group: I4/mmm, No. 139
Mass density in Mg/m³: 5.27
Size of the total moment in μB/f.u.: 4.0

mass density of number 1 (Sr3ScFe2O8)?
4.39 Mg/m³

Please write out number 2 again, unchanged.
Material: Cs2VTcF6
Method: DFT, PBE+U
State: optimized geometry

Geometry as extended XYZ:
```
10
Lattice="-3.0678 3.0678 4.4270 3.0678 -3.0678 4.4270 3.0678 3.0678 -4.4270" Properties=species:S:1:pos:R:3 pbc="T T T"
Cs 3.0678 0.0000 2.2135
Cs 0.0000 3.0678 2.2135
V 0.0000 0.0000 0.0000
Tc 0.0000 0.0000 4.4270
F 0.0000 0.0000 2.1534
F 1.5387 1.5387 0.0000
F 1.5291 -1.5291 4.4270
F -1.5291 1.5291 4.4270
F 1.5291 1.5291 4.4270
F 0.0000 0.0000 6.7006
```

Summary:
Calculated total energy in eV/cell: -52.76
Space group: I4/mmm, No. 139
Mass density in Mg/m³: 5.27
Size of the total moment in μB/f.u.: 4.0